1.
A geometry-optimized FeSiAs2 structure. Source: Alexandria via LeMat-Bulk, functional PBE-GGA.

Calculated values
Total energy ... -5.612 eV/atom
Uncorrected formation energy ... 0.74 eV/f.u.
Magnetization ... 2.63 μB per formula unit

Lattice parameters (Å, degrees): 3.5070 3.5070 6.5475 74.55 74.55 60.11
Fractional coordinates of all 4 atoms:
Si  0.2500  0.2500  0.2500
As  0.4977  0.4977  0.5068
As  0.0023  0.0023  0.9932
Fe  0.7500  0.7500  0.7500

2.
A geometry-optimized BiHSBr2 structure. Source: Alexandria via LeMat-Bulk, functional PBE-GGA.

Calculated values
Total energy ... -2.535 eV/atom
Magnetization ... 0.69 μB per formula unit

Lattice parameters (Å, degrees): 4.1343 7.9016 4.1343 90.00 90.00 90.00
Fractional coordinates of all 5 atoms:
Bi  0.0000  0.5000  0.0000
H  0.0000  0.0000  0.0000
Br  0.0000  0.0000  0.5000
Br  0.5000  0.0000  0.0000
S  0.5000  0.5000  0.5000

3.
A geometry-optimized LiP2 structure. Source: Alexandria via LeMat-Bulk, functional PBE-GGA.

Calculated values
Total energy ... -4.239 eV/atom
Magnetization ... 0.00 μB per formula unit
ΔE_f ... 0.01 eV/atom

Lattice parameters (Å, degrees): 5.0000 5.0000 5.0000 103.49 103.49 122.23
Fractional coordinates of all 6 atoms:
P  0.8791  0.3791  0.2582
P  0.6209  0.8791  0.5000
P  0.1209  0.6209  0.7418
P  0.3791  0.1209  0.5000
Li  0.7500  0.7500  0.0000
Li  0.2500  0.2500  0.0000

4.
A geometry-optimized Sr3Al2Ag7 structure. Source: Alexandria via LeMat-Bulk, functional PBE-GGA.

Calculated values
Total energy ... -2.925 eV/atom
Magnetization ... 0.00 μB per formula unit
ΔE_f ... -0.22 eV/atom

Lattice parameters (Å, degrees): 5.9193 5.9193 9.6803 72.20 72.20 60.00
Fractional coordinates of all 12 atoms:
Ag  0.5771  0.0790  0.7668
Ag  0.5771  0.5771  0.7668
Ag  0.0790  0.5771  0.7668
Ag  0.4229  0.9210  0.2332
Ag  0.9210  0.4229  0.2332
Ag  0.4229  0.4229  0.2332
Ag  0.5000  0.5000  0.5000
Al  0.6683  0.6683  0.9950
Al  0.3317  0.3317  0.0050
Sr  0.8575  0.8575  0.4274
Sr  0.0000  0.0000  0.0000
Sr  0.1425  0.1425  0.5726

5.
A geometry-optimized GePdRuRh2 structure. Source: Alexandria via LeMat-Bulk, functional PBE-GGA.

Calculated values
Total energy ... -5.866 eV/atom
Magnetization ... 3.21 μB per formula unit
ΔE_f ... 0.89 eV/atom

Lattice parameters (Å, degrees): 4.5048 4.5461 4.5048 90.00 90.00 90.00
Fractional coordinates of all 5 atoms:
Rh  0.0000  0.0000  0.5000
Rh  0.5000  0.0000  0.0000
Ru  0.0000  0.5000  0.0000
Pd  0.5000  0.5000  0.5000
Ge  0.0000  0.0000  0.0000

6.
A geometry-optimized Y6ThIn structure. Source: Alexandria via LeMat-Bulk, functional PBE-GGA.

Calculated values
Total energy ... -6.210 eV/atom
Magnetization ... 0.00 μB per formula unit
ΔE_f ... -0.09 eV/atom

Lattice parameters (Å, degrees): 4.9486 4.9486 10.0075 90.00 90.00 90.00
Fractional coordinates of all 8 atoms:
In  0.0000  0.0000  0.0000
Th  0.0000  0.0000  0.5000
Y  0.0000  0.5000  0.2454
Y  0.5000  0.5000  0.5000
Y  0.0000  0.5000  0.7546
Y  0.5000  0.0000  0.7546
Y  0.5000  0.0000  0.2454
Y  0.5000  0.5000  0.0000

no.,V (Å³ per atom)
1,16.61
2,27.01
3,15.43
4,22.90
5,18.45
6,30.63